First-principles (PBE-GGA) data for crystalline Cs3RhF at its relaxed geometry, as listed in Alexandria.

Cell and atoms, written as POSCAR:
```
Cs3RhF
1.0
5.867 0.000 0.000
0.000 5.867 0.000
0.000 0.000 5.867
Cs Rh F
3 1 1
Direct
0.000 0.000 0.500 Cs
0.000 0.500 0.000 Cs
0.500 0.000 0.000 Cs
0.500 0.500 0.500 Rh
0.000 0.000 0.000 F
```

Computed properties:
As for the volume: 40.40 Å³ per atom. The value obtained for the total magnetization is 1.00 Bohr magnetons per cell. The formation energy from raw total energies comes out at -0.5879 eV per atom.